1.
Compound: ZrInSb
Source: the Alexandria database
Functional: PBE
Structure: relaxed

Output
- uncorrected energy (eV/atom) = -5.4770
- E_form (uncorrected) (eV per atom) = -0.341
- size of the total moment (μB per atom) = 0.000
- crystal system = monoclinic

Cell lengths 10.362, 4.011, 7.110 Å; angles 90.00, 102.27, 90.00 degrees
Fractional positions:
Zr: 0.000 0.000 0.000
Zr: 0.243 0.500 0.360
Zr: 0.500 0.500 0.000
Zr: 0.743 0.000 0.360
In: 0.174 0.500 0.786
In: 0.387 0.000 0.649
In: 0.674 0.000 0.786
In: 0.887 0.500 0.649
Sb: 0.041 0.000 0.413
Sb: 0.304 0.000 0.083
Sb: 0.541 0.500 0.413
Sb: 0.804 0.500 0.083



2.
Compound: Zr2InSb2
Source: the Alexandria database
Functional: PBE
Structure: relaxed

Output
- uncorrected energy (eV/atom) = -5.9348
- E_form (uncorrected) (eV per atom) = -0.319
- excess energy over the best structure of this formula in the dataset (eV/atom) = 0.151
- size of the total moment (μB per atom) = 0.000
- crystal system = tetragonal

Cell lengths 8.142, 8.142, 3.721 Å; angles 90.00, 90.00, 90.00 degrees
Fractional positions:
Zr: 0.142 0.358 0.000
Zr: 0.358 0.858 0.000
Zr: 0.642 0.142 0.000
Zr: 0.858 0.642 0.000
In: 0.000 0.000 0.500
In: 0.500 0.500 0.500
Sb: 0.147 0.647 0.500
Sb: 0.353 0.147 0.500
Sb: 0.647 0.853 0.500
Sb: 0.853 0.353 0.500



3.
Compound: ZrInSb
Source: the Alexandria database
Functional: PBE
Structure: relaxed

Output
- uncorrected energy (eV/atom) = -5.5364
- E_form (uncorrected) (eV per atom) = -0.400
- size of the total moment (μB per atom) = 0.000
- crystal system = orthorhombic

Cell lengths 6.961, 5.603, 5.786 Å; angles 75.32, 51.14, 53.53 degrees
Fractional positions:
Zr: 0.000 0.000 0.000
Zr: 0.250 0.250 0.250
In: 0.668 0.668 0.332
In: 0.918 0.918 0.582
Sb: 0.327 0.327 0.673
Sb: 0.577 0.577 0.923